1.
A relaxed Mn2HgI6 crystal, computed with PBE.

Cell lengths 4.495, 7.703, 11.789 Å; angles 80.03, 90.00, 106.96 degrees
Each line ends with the local moment (μB).
Element x y z (fractional)
I: 0.102 0.205 0.269  0.05
I: 0.846 0.691 0.113  0.07
I: 0.898 0.795 0.731  0.05
I: 0.154 0.309 0.887  0.07
I: 0.636 0.273 0.569  0.05
I: 0.364 0.727 0.431  0.05
Mn: 0.711 0.421 0.760  4.29
Mn: 0.289 0.579 0.240  4.29
Hg: 0.000 0.000 0.500  0.03

Output
Formation energy from raw total energies, meV per atom: -330
Excess energy over the best structure of this formula in the dataset, kcal/mol of atoms: 1.031
Total energy, eV/cell: -30.9
Total magnetization, μB/atom: 1.111



2.
A relaxed MnHgI crystal, computed with PBE.

Cell lengths 3.802, 6.292, 6.893 Å; angles 100.63, 90.00, 89.99 degrees
Each line ends with the local moment (μB).
Element x y z (fractional)
Mn: 0.196 0.606 0.478  4.03
Mn: 0.697 0.990 0.465  4.03
Hg: 0.196 0.824 0.147  0.01
Hg: 0.696 0.772 0.796  0.01
I: 0.197 0.261 0.709  0.07
I: 0.697 0.335 0.234  0.07

Output
Formation energy from raw total energies, meV per atom: 70
Excess energy over the best structure of this formula in the dataset, kcal/mol of atoms: 0.000
Total energy, eV/cell: -21.6
Total magnetization, μB/atom: 1.453



3.
A relaxed MnHgI2 crystal, computed with PBE.

Cell lengths 5.514, 5.514, 5.514 Å; angles 60.00, 60.00, 60.00 degrees
Each line ends with the local moment (μB).
Element x y z (fractional)
I: 0.250 0.250 0.250  0.05
I: 0.750 0.750 0.750  0.05
Hg: 0.500 0.500 0.500  0.04
Mn: 0.000 0.000 0.000  4.44

Output
Formation energy from raw total energies, meV per atom: 216
Excess energy over the best structure of this formula in the dataset, kcal/mol of atoms: 11.913
Total energy, eV/cell: -11.7
Total magnetization, μB/atom: 1.251



4.
A relaxed MnHgI4 crystal, computed with PBE.

Cell lengths 4.233, 8.543, 7.477 Å; angles 115.55, 90.00, 104.34 degrees
Each line ends with the local moment (μB).
Element x y z (fractional)
I: 0.387 0.774 0.740  0.06
I: 0.885 0.770 0.209  0.04
I: 0.115 0.230 0.791  0.04
I: 0.613 0.226 0.260  0.06
Hg: 0.500 0.000 0.500  0.01
Mn: 0.000 0.000 0.000  4.35

Output
Formation energy from raw total energies, meV per atom: -318
Total energy, eV/cell: -17.6
Total magnetization, μB/atom: 0.833



5.
A relaxed MnHgI crystal, computed with PBE.

Cell lengths 7.007, 3.956, 6.811 Å; angles 90.00, 108.69, 90.00 degrees
Each line ends with the local moment (μB).
Element x y z (fractional)
I: 0.090 0.000 0.241  0.07
I: 0.090 0.500 0.741  0.07
Mn: 0.835 0.500 0.323  4.03
Mn: 0.835 0.000 0.823  4.03
Hg: 0.590 0.500 0.907  0.01
Hg: 0.590 0.000 0.407  0.01

Output
Formation energy from raw total energies, meV per atom: 121
Excess energy over the best structure of this formula in the dataset, kcal/mol of atoms: 1.171
Total energy, eV/cell: -21.3
Total magnetization, μB/atom: 1.455



6.
A relaxed Mn2Hg2I7 crystal, computed with PBE.

Cell lengths 7.997, 7.997, 16.655 Å; angles 111.26, 111.26, 88.43 degrees
Each line ends with the local moment (μB).
Element x y z (fractional)
Hg: 0.188 0.169 0.692  -0.08
Hg: 0.169 0.188 0.192  -0.08
Hg: 0.831 0.812 0.808  -0.08
Hg: 0.812 0.831 0.308  -0.08
I: 0.903 0.097 0.250  -0.02
I: 0.320 0.950 0.065  0.01
I: 0.680 0.050 0.935  0.01
I: 0.950 0.320 0.565  0.01
I: 0.589 0.498 0.124  0.04
I: 0.097 0.903 0.750  -0.02
I: 0.089 0.518 0.126  0.04
I: 0.518 0.089 0.626  0.04
I: 0.482 0.911 0.374  0.04
I: 0.911 0.482 0.874  0.04
I: 0.411 0.502 0.876  0.04
I: 0.498 0.589 0.624  0.04
I: 0.050 0.680 0.435  0.01
I: 0.502 0.411 0.376  0.04
Mn: 0.410 0.739 0.483  4.26
Mn: 0.590 0.261 0.517  4.26
Mn: 0.739 0.410 0.983  4.26
Mn: 0.261 0.590 0.017  4.26

Output
Formation energy from raw total energies, meV per atom: -281
Total energy, eV/cell: -65.8
Total magnetization, μB/atom: 0.841



7.
A relaxed Mn2HgI4 crystal, computed with PBE.

Cell lengths 8.437, 8.742, 10.605 Å; angles 103.62, 102.53, 116.20 degrees
Each line ends with the local moment (μB).
Element x y z (fractional)
I: 0.700 0.090 0.230  0.07
I: 0.305 0.208 0.416  0.07
I: 0.722 0.612 0.270  0.07
I: 0.549 0.142 0.803  0.07
I: 0.138 0.542 0.083  0.07
I: 0.495 0.640 0.821  0.07
I: 0.923 0.568 0.678  0.07
I: 0.997 0.091 0.697  0.07
Mn: 0.566 0.383 0.687  4.31
Mn: 0.497 0.258 0.243  4.32
Mn: 0.502 0.764 0.257  4.32
Mn: 0.131 0.448 0.813  4.31
Hg: 0.495 0.884 0.515  0.04
Hg: 0.231 0.121 0.986  0.04

Output
Formation energy from raw total energies, meV per atom: -317
Total energy, eV/cell: -54.1
Total magnetization, μB/atom: 1.429



8.
A relaxed Mn2HgI crystal, computed with PBE.

Cell lengths 4.937, 4.937, 4.937 Å; angles 60.00, 60.00, 60.00 degrees
Each line ends with the local moment (μB).
Element x y z (fractional)
Mn: 0.250 0.250 0.250  3.78
Mn: 0.750 0.750 0.750  3.78
I: 0.000 0.000 0.000  0.01
Hg: 0.500 0.500 0.500  -0.01

Output
Formation energy from raw total energies, meV per atom: 655
Excess energy over the best structure of this formula in the dataset, kcal/mol of atoms: 0.532
Total energy, eV/cell: -17.6
Total magnetization, μB/atom: 1.945



9.
A relaxed MnHg2I crystal, computed with PBE.

Cell lengths 5.503, 5.503, 5.503 Å; angles 60.00, 60.00, 60.00 degrees
Each line ends with the local moment (μB).
Element x y z (fractional)
Hg: 0.250 0.250 0.250  0.08
Hg: 0.750 0.750 0.750  0.08
Mn: 0.000 0.000 0.000  4.57
I: 0.500 0.500 0.500  0.20

Output
Formation energy from raw total energies, meV per atom: 513
Excess energy over the best structure of this formula in the dataset, kcal/mol of atoms: 7.457
Total energy, eV/cell: -9.3
Total magnetization, μB/atom: 1.423



10.
A relaxed MnHg2I crystal, computed with PBE.

Cell lengths 9.023, 9.023, 6.999 Å; angles 49.87, 49.87, 90.00 degrees
Each line ends with the local moment (μB).
Element x y z (fractional)
Mn: 0.500 0.500 0.000  4.12
Mn: 0.250 0.750 0.500  4.11
I: 0.000 0.000 0.000  0.04
I: 0.750 0.250 0.500  0.04
Hg: 0.375 0.443 0.750  0.02
Hg: 0.557 0.125 0.250  0.01
Hg: 0.875 0.807 0.750  0.00
Hg: 0.193 0.625 0.250  0.01

Output
Formation energy from raw total energies, meV per atom: 190
Excess energy over the best structure of this formula in the dataset, kcal/mol of atoms: 0.000
Total energy, eV/cell: -21.1
Total magnetization, μB/atom: 1.113



11.
A relaxed MnHgI crystal, computed with PBE.

Cell lengths 6.332, 4.785, 8.200 Å; angles 73.46, 89.95, 90.08 degrees
Each line ends with the local moment (μB).
Element x y z (fractional)
I: 0.961 0.895 0.805  0.06
I: 0.961 0.165 0.276  0.05
Mn: 0.684 0.028 0.541  4.11
Mn: 0.239 0.028 0.540  4.11
Hg: 0.461 0.738 0.128  0.02
Hg: 0.461 0.529 0.538  -0.01

Output
Formation energy from raw total energies, meV per atom: 85
Excess energy over the best structure of this formula in the dataset, kcal/mol of atoms: 0.342
Total energy, eV/cell: -21.5
Total magnetization, μB/atom: 1.525



12.
A relaxed MnHgI crystal, computed with PBE.

Cell lengths 3.784, 6.234, 7.667 Å; angles 101.06, 104.81, 89.94 degrees
Each line ends with the local moment (μB).
Element x y z (fractional)
Mn: 0.444 0.396 0.474  4.05
Mn: 0.940 0.009 0.469  4.05
Hg: 0.789 0.224 0.167  0.01
Hg: 0.594 0.180 0.776  0.01
I: 0.059 0.679 0.700  0.07
I: 0.325 0.725 0.243  0.07

Output
Formation energy from raw total energies, meV per atom: 73
Excess energy over the best structure of this formula in the dataset, kcal/mol of atoms: 0.059
Total energy, eV/cell: -21.6
Total magnetization, μB/atom: 1.470



Please write out number 2 again, unchanged.
A relaxed MnHgI crystal, computed with PBE.

Cell lengths 3.802, 6.292, 6.893 Å; angles 100.63, 90.00, 89.99 degrees
Each line ends with the local moment (μB).
Element x y z (fractional)
Mn: 0.196 0.606 0.478  4.03
Mn: 0.697 0.990 0.465  4.03
Hg: 0.196 0.824 0.147  0.01
Hg: 0.696 0.772 0.796  0.01
I: 0.197 0.261 0.709  0.07
I: 0.697 0.335 0.234  0.07

Output
Formation energy from raw total energies, meV per atom: 70
Excess energy over the best structure of this formula in the dataset, kcal/mol of atoms: 0.000
Total energy, eV/cell: -21.6
Total magnetization, μB/atom: 1.453